1.
VASP calculation (PBE) on a relaxed Ce2PmTc2 crystal.

a b c (Å): 4.376 6.799 8.518
angles (deg): 91.83 93.66 101.83
Space group P-1 (No. 2)
One atom of each set of equivalent atoms:
Ce (0.059, 0.398, 0.171) (multiplicity 2)
Ce (0.227, 0.285, 0.569) (multiplicity 2)
Pm (0.298, 0.962, 0.178) (multiplicity 2)
Tc (0.308, 0.795, 0.545) (multiplicity 2)
Tc (0.313, 0.327, 0.949) (multiplicity 2)

calculated density: 8.3 g/cm³
ΔH_f (0 K): -0.02 eV/atom
relative energy among the computed polymorphs: 0 meV/atom

2.
VASP calculation (PBE) on a relaxed TlCdF3 crystal.

a b c (Å): 4.409 6.069 6.717
angles (deg): 90.00 90.07 90.00
Space group P2_1/m (No. 11)
One atom of each set of equivalent atoms:
Tl (0.250, 0.250, 0.157) (multiplicity 2)
Cd (0.250, 0.250, 0.602) (multiplicity 2)
F (0.250, 0.019, 0.854) (multiplicity 4)
F (0.250, 0.750, 0.452) (multiplicity 2)

calculated density: 6.9 g/cm³
ΔE_f (raw): -1.8993 eV/atom

3.
VASP calculation (PBE) on a relaxed TlSbTe4Pb2 crystal.

a b c (Å): 7.916 4.584 8.018
angles (deg): 90.00 109.02 90.00
Space group P2/m (No. 10)
One atom of each set of equivalent atoms:
Tl (0.000, 0.000, 0.000) (multiplicity 1)
Sb (0.000, 0.500, 0.500) (multiplicity 1)
Te (0.240, 0.000, 0.734) (multiplicity 2)
Te (0.250, 0.500, 0.263) (multiplicity 2)
Pb (0.500, 0.000, 0.500) (multiplicity 1)
Pb (0.500, 0.500, 0.000) (multiplicity 1)

calculated density: 7.6 g/cm³
ΔE_f (raw): -0.2602 eV/atom

4.
VASP calculation (PBE) on a relaxed Cu2IrPd crystal.

a b c (Å): 6.006 6.006 6.006
angles (deg): 90.00 90.00 90.00
Space group Fm-3m (No. 225)
One atom of each set of equivalent atoms:
Cu (0.250, 0.250, 0.250) (multiplicity 8)
Ir (0.000, 0.000, 0.000) (multiplicity 4)
Pd (0.000, 0.000, 0.500) (multiplicity 4)

calculated density: 13.1 g/cm³
ΔH_f (0 K): 0.17 eV/atom
relative energy among the computed polymorphs: 142 meV/atom

5.
VASP calculation (PBE) on a relaxed BeSiAu2 crystal.

a b c (Å): 4.136 4.136 15.870
angles (deg): 90.00 90.00 90.00
Space group I-42d (No. 122)
One atom of each set of equivalent atoms:
Be (0.000, 0.000, 0.000) (multiplicity 4)
Si (0.000, 0.000, 0.500) (multiplicity 4)
Au (0.241, 0.250, 0.125) (multiplicity 8)

calculated density: 10.5 g/cm³
ΔE_f (raw): 0.1631 eV/atom

6.
VASP calculation (PBE) on a relaxed KMo3Pb crystal.

a b c (Å): 4.654 4.654 4.654
angles (deg): 90.00 90.00 90.00
Space group Pm-3m (No. 221)
One atom of each set of equivalent atoms:
K (0.000, 0.000, 0.000) (multiplicity 1)
Mo (0.000, 0.000, 0.500) (multiplicity 3)
Pb (0.500, 0.500, 0.500) (multiplicity 1)

calculated density: 8.8 g/cm³
ΔH_f (0 K): 2.99 eV/atom

7.
VASP calculation (PBE) on a relaxed PrSmHoCu crystal.

a b c (Å): 3.564 3.564 8.771
angles (deg): 90.00 90.00 90.00
Space group P4mm (No. 99)
One atom of each set of equivalent atoms:
Pr (0.000, 0.000, 0.000) (multiplicity 1)
Sm (0.500, 0.500, 0.688) (multiplicity 1)
Ho (0.500, 0.500, 0.305) (multiplicity 1)
Cu (0.000, 0.000, 0.484) (multiplicity 1)

calculated density: 7.7 g/cm³
ΔH_f (0 K): -0.09 eV/atom

8.
VASP calculation (PBE) on a relaxed Ac2SmPtO5 crystal.

a b c (Å): 7.126 7.126 5.804
angles (deg): 90.00 90.00 90.00
Space group P4/mbm (No. 127)
One atom of each set of equivalent atoms:
Ac (0.170, 0.330, 0.000) (multiplicity 4)
Sm (0.000, 0.000, 0.500) (multiplicity 2)
Pt (0.000, 0.500, 0.500) (multiplicity 2)
O (0.000, 0.000, 0.000) (multiplicity 2)
O (0.147, 0.647, 0.261) (multiplicity 8)

calculated density: 9.9 g/cm³
ΔE_f (raw): -2.3070 eV/atom

9.
VASP calculation (PBE) on a relaxed LiAlSiH2O5 crystal.

a b c (Å): 11.430 8.410 5.044
angles (deg): 90.00 90.00 90.00
Space group Pna2_1 (No. 33)
One atom of each set of equivalent atoms:
Li (0.119, 0.215, 0.000) (multiplicity 4)
Al (0.146, 0.864, 0.122) (multiplicity 4)
Si (0.227, 0.042, 0.590) (multiplicity 4)
H (0.029, 0.657, 0.204) (multiplicity 4)
H (0.104, 0.490, 0.882) (multiplicity 4)
O (0.015, 0.770, 0.226) (multiplicity 4)
O (0.135, 0.462, 0.056) (multiplicity 4)
O (0.157, 0.928, 0.792) (multiplicity 4)
O (0.170, 0.044, 0.293) (multiplicity 4)
O (0.244, 0.221, 0.704) (multiplicity 4)

calculated density: 2.0 g/cm³
relative energy among the computed polymorphs: 87 meV/atom